# 1
A plane-wave DFT calculation with PBE-GGA was carried out for HoZrOsPd after structural relaxation.

Cell and atoms, written as extended XYZ:
```
4
Lattice="-0.674 4.667 -0.728 -2.164 2.645 3.329 2.504 3.192 2.511" Properties=species:S:1:pos:R:3 pbc="T T T"
Zr -0.250 7.878 3.834
Os -0.167 5.252 2.556
Ho -0.083 2.626 1.278
Pd 0.000 0.000 0.000
```

Values from the calculation:
* VASP energy: -7.943 eV/atom
* space group: F-43m, No. 216

# 2
A plane-wave DFT calculation with PBE-GGA was carried out for PmHoOs4 after structural relaxation.

Cell and atoms, written as extended XYZ:
```
6
Lattice="-2.811 -4.186 1.894 2.046 -4.973 -0.296 1.610 -2.520 4.479" Properties=species:S:1:pos:R:3 pbc="T T T"
Os -0.278 -6.040 1.557
Os -0.496 -4.812 3.947
Os 0.528 -7.301 3.799
Os 1.936 -5.206 2.851
Ho 0.000 0.000 0.000
Pm 0.211 -2.920 1.519
```

Values from the calculation:
* VASP energy: -9.243 eV/atom
* space group: F-43m, No. 216

# 3
A plane-wave DFT calculation with PBE-GGA was carried out for PmHo3Os after structural relaxation.

Cell and atoms, written as extended XYZ:
```
10
Lattice="-2.058 -2.587 -1.505 -2.136 -3.339 8.660 -5.077 7.208 -1.063" Properties=species:S:1:pos:R:3 pbc="T T T"
Pm -4.049 -0.035 1.213
Pm -5.223 1.317 4.878
Ho -0.388 -0.573 1.516
Ho -8.884 1.855 4.575
Ho -4.132 3.320 -0.057
Ho -5.140 -2.039 6.149
Ho -2.350 -0.669 4.364
Ho -6.922 1.951 1.728
Os -7.473 -0.120 6.042
Os -1.799 1.402 0.050
```

Values from the calculation:
* VASP energy: -5.898 eV/atom
* relative energy among the computed polymorphs: 114 meV per atom
* space group: C2/m, No. 12

# 4
A plane-wave DFT calculation with PBE-GGA was carried out for Pm2Ho3Os2 after structural relaxation.

Cell and atoms, written as extended XYZ:
```
7
Lattice="-3.180 2.347 0.289 -0.113 -2.801 -5.671 -3.100 -4.965 6.202" Properties=species:S:1:pos:R:3 pbc="T T T"
Pm -3.344 -0.894 -2.381
Pm -3.049 -4.526 3.200
Ho -1.590 1.173 0.144
Ho -3.342 -1.356 1.403
Ho -3.051 -4.063 -0.583
Os -5.110 -3.750 1.387
Os -1.283 -1.669 -0.568
```

Values from the calculation:
* VASP energy: -6.736 eV/atom
* space group: C2/m, No. 12

# 5
A plane-wave DFT calculation with PBE-GGA was carried out for PmHo3Os after structural relaxation.

Cell and atoms, written as extended XYZ:
```
10
Lattice="6.258 0.000 0.000 0.000 6.445 -0.001 0.000 0.001 7.688" Properties=species:S:1:pos:R:3 pbc="T T T"
Pm 2.686 2.124 5.388
Pm 5.814 0.150 1.544
Ho 2.639 2.170 1.544
Ho 2.666 5.501 7.316
Ho 5.795 3.218 3.473
Ho 5.768 0.104 5.387
Ho 5.796 3.218 7.301
Ho 2.667 5.501 3.456
Os 1.097 4.382 5.386
Os 4.226 4.337 1.542
```

Values from the calculation:
* VASP energy: -6.013 eV/atom
* relative energy among the computed polymorphs: 0 meV per atom
* space group: Pmn2_1, No. 31

# 6
A plane-wave DFT calculation with PBE-GGA was carried out for PmHoOs after structural relaxation.

Cell and atoms, written as extended XYZ:
```
6
Lattice="-2.904 0.220 1.808 0.586 -6.585 1.726 4.855 3.324 4.115" Properties=species:S:1:pos:R:3 pbc="T T T"
Pm 1.276 -1.831 3.005
Pm 3.079 -0.962 5.791
Ho 2.745 2.331 4.864
Ho 1.610 -5.123 3.932
Os 0.581 0.392 4.870
Os 0.870 -2.964 5.734
```

Values from the calculation:
* VASP energy: -7.009 eV/atom
* relative energy among the computed polymorphs: 3 meV per atom
* space group: P-1, No. 2

# 7
A plane-wave DFT calculation with PBE-GGA was carried out for PmHoOs after structural relaxation.

Cell and atoms, written as extended XYZ:
```
3
Lattice="3.425 0.000 0.000 0.000 3.425 0.000 -1.712 -1.712 6.717" Properties=species:S:1:pos:R:3 pbc="T T T"
Os 1.712 1.712 6.000
Ho 0.000 0.000 4.391
Pm 1.712 1.712 1.028
```

Values from the calculation:
* VASP energy: -7.013 eV/atom
* relative energy among the computed polymorphs: 0 meV per atom
* space group: I4mm, No. 107

# 8
A plane-wave DFT calculation with PBE-GGA was carried out for PmHoOs after structural relaxation.

Cell and atoms, written as extended XYZ:
```
12
Lattice="-6.729 3.218 -1.970 -1.384 -4.568 -2.734 -1.735 1.585 8.515" Properties=species:S:1:pos:R:3 pbc="T T T"
Pm -3.407 0.119 2.758
Pm -2.555 -3.281 -2.668
Pm -6.442 0.116 1.054
Pm -7.294 3.516 6.480
Os -2.671 -2.631 3.458
Os -3.867 0.179 -0.239
Os -7.178 2.865 0.353
Os -5.982 0.056 4.051
Ho -4.239 1.808 5.766
Ho -2.231 -2.145 0.678
Ho -5.609 -1.573 -1.954
Ho -7.617 2.380 3.134
```

Values from the calculation:
* VASP energy: -7.001 eV/atom
* relative energy among the computed polymorphs: 11 meV per atom
* space group: P2_1/c, No. 14

# 9
A plane-wave DFT calculation with PBE-GGA was carried out for PmHoOs after structural relaxation.

Cell and atoms, written as extended XYZ:
```
3
Lattice="-0.588 0.926 4.700 -3.932 -1.594 2.300 0.373 -3.569 3.227" Properties=species:S:1:pos:R:3 pbc="T T T"
Os -1.037 -1.059 2.557
Ho 0.000 0.000 0.000
Pm -2.073 -2.118 5.113
```

Values from the calculation:
* VASP energy: -6.999 eV/atom
* relative energy among the computed polymorphs: 13 meV per atom
* space group: F-43m, No. 216

# 10
A plane-wave DFT calculation with PBE-GGA was carried out for PmHoOsRh after structural relaxation.

Cell and atoms, written as extended XYZ:
```
4
Lattice="4.886 0.000 0.000 2.443 4.231 0.000 2.443 1.410 3.989" Properties=species:S:1:pos:R:3 pbc="T T T"
Rh 7.329 4.231 2.992
Os 2.443 1.410 0.997
Ho 0.000 0.000 0.000
Pm 4.886 2.821 1.995
```

Values from the calculation:
* VASP energy: -7.346 eV/atom
* space group: F-43m, No. 216

# 11
A plane-wave DFT calculation with PBE-GGA was carried out for PmHoTlOs after structural relaxation.

Cell and atoms, written as extended XYZ:
```
4
Lattice="5.122 0.000 0.000 2.561 4.436 0.000 2.561 1.479 4.182" Properties=species:S:1:pos:R:3 pbc="T T T"
Tl 0.000 0.000 0.000
Os 5.122 2.957 2.091
Ho 2.561 1.479 1.046
Pm 7.684 4.436 3.137
```

Values from the calculation:
* VASP energy: -5.830 eV/atom
* space group: F-43m, No. 216

# 12
A plane-wave DFT calculation with PBE-GGA was carried out for Pr2HoOs after structural relaxation.

Cell and atoms, written as extended XYZ:
```
16
Lattice="6.483 0.000 0.000 0.000 7.467 0.000 0.000 0.000 9.595" Properties=species:S:1:pos:R:3 pbc="T T T"
Pr 1.114 5.048 0.620
Pr 2.128 1.315 4.177
Pr 5.369 2.419 5.418
Pr 4.355 6.152 8.975
Pr 5.369 2.419 8.975
Pr 4.355 6.152 5.418
Pr 1.114 5.048 4.177
Pr 2.128 1.315 0.620
Ho 4.175 4.064 2.399
Ho 5.550 0.331 2.399
Ho 2.308 3.403 7.196
Ho 0.933 7.136 7.196
Os 0.221 2.866 2.399
Os 3.021 6.599 2.399
Os 6.262 4.601 7.196
Os 3.462 0.868 7.196
```

Values from the calculation:
* VASP energy: -6.465 eV/atom
* relative energy among the computed polymorphs: 0 meV per atom
* space group: Pnma, No. 62